Record 1
The following is a PBE calculation of an optimized crystal structure of Tb12CuPd6, from Alexandria.

Cell: 8.3014 8.3014 8.3014 Å, 100.47 100.47 100.47°
Last column: nearest neighbours and their distance in Å.
Sites, in units of the cell vectors:
Tb  0.0481  0.9235  0.6785  1 Cu 2.75, 2 Pd 2.85-2.86
Tb  0.0765  0.3215  0.9519  1 Cu 2.75, 2 Pd 2.85-2.86
Tb  0.1767  0.5726  0.4148  4 Pd 2.82-3.00
Tb  0.3215  0.9519  0.0765  1 Cu 2.75, 2 Pd 2.85-2.86
Tb  0.4148  0.1767  0.5726  4 Pd 2.82-3.00
Tb  0.4274  0.5852  0.8233  4 Pd 2.82-3.00
Tb  0.5726  0.4148  0.1767  4 Pd 2.82-3.00
Tb  0.5852  0.8233  0.4274  4 Pd 2.82-3.00
Tb  0.6785  0.0481  0.9235  1 Cu 2.75, 2 Pd 2.85-2.86
Tb  0.8233  0.4274  0.5852  4 Pd 2.82-3.00
Tb  0.9235  0.6785  0.0481  1 Cu 2.75, 2 Pd 2.85-2.86
Tb  0.9519  0.0765  0.3215  1 Cu 2.75, 2 Pd 2.85-2.86
Cu  0.0000  0.0000  0.0000  6 Tb 2.75
Pd  0.1349  0.3125  0.6213  6 Tb 2.82-3.00
Pd  0.3125  0.6213  0.1349  6 Tb 2.82-3.00
Pd  0.3787  0.8651  0.6875  6 Tb 2.82-3.00
Pd  0.6213  0.1349  0.3125  6 Tb 2.82-3.00
Pd  0.6875  0.3787  0.8651  6 Tb 2.82-3.00
Pd  0.8651  0.6875  0.3787  6 Tb 2.82-3.00

Values from the calculation:
The crystal system is trigonal. The total energy is -5.222 eV/atom. The calculation puts the total magnetization at 0.00 μB per formula unit.

=====

Record 2
The following is a PBE calculation of an optimized crystal structure of MnCo2Rh, from Alexandria.

Cell: 4.4351 4.4351 4.4351 Å, 132.14 132.14 70.01°
Last column: nearest neighbours and their distance in Å.
Sites, in units of the cell vectors:
Mn  0.0000  0.0000  0.0000  8 Co 2.54-2.56, 4 Rh 2.56
Co  0.2500  0.7500  0.5000  4 Rh 2.54, 4 Mn 2.56, 4 Co 2.56
Co  0.5000  0.5000  0.0000  4 Mn 2.54, 4 Co 2.56, 4 Rh 2.56
Rh  0.7500  0.2500  0.5000  8 Co 2.54-2.56, 4 Mn 2.56

Values from the calculation:
The crystal system is tetragonal. The total energy is -7.625 eV/atom. The calculation puts the total magnetization at 3.83 μB per formula unit.

=====

Record 3
The following is a PBE calculation of an optimized crystal structure of Mg3Cd5In, from Alexandria.

Cell: 8.4823 8.4823 8.4823 Å, 117.24 117.24 94.86°
Last column: nearest neighbours and their distance in Å.
Sites, in units of the cell vectors:
Mg  0.1116  0.6116  0.7233  2 Cd 2.78, 1 Mg 2.79
Mg  0.2500  0.2500  0.0000  2 Cd 2.87
Mg  0.3884  0.1116  0.5000  2 Cd 2.78, 1 Mg 2.79
Mg  0.6116  0.8884  0.5000  2 Cd 2.78, 1 Mg 2.79
Mg  0.7500  0.7500  0.0000  2 Cd 2.87
Mg  0.8884  0.3884  0.2767  2 Cd 2.78, 1 Mg 2.79
Cd  0.0000  0.0000  0.0000  2 Mg 2.87
Cd  0.0698  0.1658  0.5000  1 Mg 2.78, 1 In 2.86, 2 Cd 2.96-3.03
Cd  0.1658  0.6658  0.0961  1 Mg 2.78, 1 In 2.86, 2 Cd 2.96-3.03
Cd  0.3342  0.4302  0.5000  1 Mg 2.78, 1 In 2.86, 2 Cd 2.96-3.03
Cd  0.4302  0.9302  0.0961  1 Mg 2.78, 1 In 2.86, 2 Cd 2.96-3.03
Cd  0.5000  0.5000  0.0000  2 Mg 2.87
Cd  0.5698  0.0698  0.9039  1 Mg 2.78, 1 In 2.86, 2 Cd 2.96-3.03
Cd  0.6658  0.5698  0.5000  1 Mg 2.78, 1 In 2.86, 2 Cd 2.96-3.03
Cd  0.8342  0.3342  0.9039  1 Mg 2.78, 1 In 2.86, 2 Cd 2.96-3.03
Cd  0.9302  0.8342  0.5000  1 Mg 2.78, 1 In 2.86, 2 Cd 2.96-3.03
In  0.2500  0.7500  0.5000  4 Cd 2.86, 4 Mg 3.19
In  0.7500  0.2500  0.5000  4 Cd 2.86, 4 Mg 3.19

Values from the calculation:
The crystal system is tetragonal. The total energy is -1.267 eV/atom. The calculation puts the total magnetization at 0.00 μB per formula unit.

=====

Record 4
The following is a PBE calculation of an optimized crystal structure of Pm6Co2AuI3, from Alexandria.

Cell: 7.1998 7.1998 8.3800 Å, 98.21 98.21 120.01°
Last column: nearest neighbours and their distance in Å.
Sites, in units of the cell vectors:
Pm  0.0769  0.4379  0.8150  2 Co 2.74, 1 Au 3.00
Pm  0.1997  0.1997  0.1834  2 Co 2.74, 1 Au 2.99
Pm  0.4379  0.0769  0.8150  2 Co 2.74, 1 Au 3.00
Pm  0.5621  0.9231  0.1850  2 Co 2.74, 1 Au 3.00
Pm  0.8003  0.8003  0.8166  2 Co 2.74, 1 Au 2.99
Pm  0.9231  0.5621  0.1850  2 Co 2.74, 1 Au 3.00
Co  0.1670  0.8330  0.0000  6 Pm 2.74
Co  0.8330  0.1670  0.0000  6 Pm 2.74
Au  0.5000  0.5000  0.0000  6 Pm 2.99-3.00
I  0.0000  0.0000  0.5000  6 Pm 3.36-3.56
I  0.3357  0.6643  0.5000  6 Pm 3.37-3.56
I  0.6643  0.3357  0.5000  6 Pm 3.37-3.56

Values from the calculation:
The crystal system is monoclinic. The total energy is -4.912 eV/atom. The calculation puts the total magnetization at 0.00 μB per formula unit.

=====

Record 5
The following is a PBE calculation of an optimized crystal structure of AlMoOs, from Alexandria.

Cell: 4.2016 4.2016 4.2016 Å, 60.00 60.00 60.00°
Last column: nearest neighbours and their distance in Å.
Sites, in units of the cell vectors:
Al  0.0000  0.0000  0.0000  4 Os 2.57
Mo  0.5000  0.5000  0.5000  4 Os 2.57
Os  0.2500  0.2500  0.2500  4 Mo 2.57, 4 Al 2.57

Values from the calculation:
The crystal system is cubic. The total energy is -8.593 eV/atom. The calculation puts the total magnetization at 0.00 μB per formula unit.

=====

Record 6
The following is a PBE calculation of an optimized crystal structure of SrCa2Be, from Alexandria.

Cell: 7.4155 7.4155 7.4155 Å, 101.86 101.86 126.09°
Last column: nearest neighbours and their distance in Å.
Sites, in units of the cell vectors:
Sr  0.0000  0.0000  0.0000  2 Be 3.36, 4 Ca 3.74
Sr  0.7500  0.2500  0.5000  2 Be 3.36, 4 Ca 3.74
Ca  0.2176  0.1250  0.5926  2 Be 2.89
Ca  0.3750  0.7824  0.9074  2 Be 2.89
Ca  0.5324  0.6250  0.4074  2 Be 2.89
Ca  0.8750  0.4676  0.0926  2 Be 2.89
Be  0.2500  0.7500  0.5000  4 Ca 2.89
Be  0.5000  0.5000  0.0000  4 Ca 2.89

Values from the calculation:
The crystal system is tetragonal. The total energy is -1.962 eV/atom. The calculation puts the total magnetization at 0.00 μB per formula unit.

=====

Record 7
The following is a PBE calculation of an optimized crystal structure of ScFeRh3, from Alexandria.

Cell: 4.5689 4.5689 4.5689 Å, 90.00 90.00 90.00°
Last column: nearest neighbours and their distance in Å.
Sites, in units of the cell vectors:
Sc  0.0000  0.0000  0.0000  6 Rh 2.28
Fe  0.5000  0.5000  0.5000  12 Rh 3.23
Rh  0.0000  0.0000  0.5000  2 Sc 2.28
Rh  0.0000  0.5000  0.0000  2 Sc 2.28
Rh  0.5000  0.0000  0.0000  2 Sc 2.28

Values from the calculation:
The crystal system is cubic. The total energy is -6.021 eV/atom. The calculation puts the total magnetization at 0.19 μB per formula unit.

=====

Record 8
The following is a PBE calculation of an optimized crystal structure of Li4PtAu5, from Alexandria.

Cell: 2.8916 2.8916 18.6751 Å, 90.00 90.00 90.00°
Last column: nearest neighbours and their distance in Å.
Sites, in units of the cell vectors:
Li  0.0000  0.0000  0.0986  8 Au 2.73-2.75, 4 Li 2.89
Li  0.0000  0.0000  0.2933  8 Au 2.72-2.74, 4 Li 2.89
Li  0.0000  0.0000  0.7067  8 Au 2.72-2.74, 4 Li 2.89
Li  0.0000  0.0000  0.9014  8 Au 2.73-2.75, 4 Li 2.89
Pt  0.0000  0.0000  0.5000  4 Pt 2.89, 8 Au 2.90
Au  0.5000  0.5000  0.0000  8 Li 2.75, 4 Au 2.89
Au  0.5000  0.5000  0.1954  8 Li 2.73-2.74, 4 Au 2.89
Au  0.5000  0.5000  0.3895  4 Li 2.72, 4 Au 2.89, 4 Pt 2.90
Au  0.5000  0.5000  0.6105  4 Li 2.72, 4 Au 2.89, 4 Pt 2.90
Au  0.5000  0.5000  0.8046  8 Li 2.73-2.74, 4 Au 2.89

Values from the calculation:
The crystal system is tetragonal. The total energy is -3.423 eV/atom. The calculation puts the total magnetization at 0.00 μB per formula unit.

=====

Look up the total energy of the fifth one. -8.593 eV/atom